A plane-wave DFT calculation with PBE-GGA was carried out for a relaxed structure of Tc2IrAu.

Unit cell a=3.876 b=3.876 c=4.038 alpha=90.00 beta=90.00 gamma=90.00
Sites, in units of the cell vectors:
Tc 0.000 0.500 0.000
Tc 0.500 0.000 0.000
Ir 0.000 0.000 0.500
Au 0.500 0.500 0.500

**Electronic total energy**: -0.5838 Ry/atom
**Calculated formation energy**: 0.275 eV per atom
**Volume**: 15.169 A^3/atom
**Magnetic moment**: 0.00 μB/f.u.

=====

A plane-wave DFT calculation with PBE-GGA was carried out for a relaxed structure of ErInPb2Br8.

Unit cell a=6.851 b=9.207 c=7.224 alpha=90.00 beta=90.96 gamma=90.00
Sites, in units of the cell vectors:
Er 0.000 0.000 0.000
In 0.000 0.500 0.000
Pb 0.500 0.250 0.500
Pb 0.500 0.750 0.500
Br 0.235 0.217 0.154
Br 0.235 0.783 0.154
Br 0.237 0.000 0.683
Br 0.270 0.500 0.639
Br 0.730 0.500 0.361
Br 0.763 0.000 0.317
Br 0.765 0.217 0.846
Br 0.765 0.783 0.846

**Electronic total energy**: -0.2579 Ry/atom
**E_form (uncorrected)**: -1.17 eV per atom
**Volume**: 37.971 A^3/atom
**Magnetic moment**: 0.00 μB/f.u.

=====

A plane-wave DFT calculation with PBE-GGA was carried out for a relaxed structure of BTeOsO2.

Unit cell a=3.433 b=3.433 c=7.933 alpha=90.00 beta=90.00 gamma=90.00
Sites, in units of the cell vectors:
B 0.000 0.000 0.000
Te 0.000 0.000 0.500
Os 0.500 0.500 0.500
O 0.000 0.500 0.000
O 0.500 0.000 0.000

**Electronic total energy**: -0.3934 Ry/atom
**E_form (uncorrected)**: 0.84 eV per atom
**Volume**: 18.701 A^3/atom
**Magnetic moment**: 0.33 μB/f.u.

=====

A plane-wave DFT calculation with PBE-GGA was carried out for a relaxed structure of TbBe2Si.

Unit cell a=5.369 b=5.369 c=5.369 alpha=41.23 beta=41.23 gamma=41.23
Sites, in units of the cell vectors:
Tb 0.000 0.000 0.000
Be 0.202 0.202 0.202
Be 0.798 0.798 0.798
Si 0.500 0.500 0.500

**Electronic total energy**: -0.3396 Ry/atom
**E_form (uncorrected)**: -0.24 eV per atom
**Volume**: 15.181 A^3/atom
**Magnetic moment**: 0.00 μB/f.u.

=====

A plane-wave DFT calculation with PBE-GGA was carried out for a relaxed structure of GaCoNi6.

Unit cell a=6.155 b=6.155 c=10.049 alpha=90.00 beta=90.00 gamma=109.61
Sites, in units of the cell vectors:
Ga 0.000 0.000 0.250
Ga 0.000 0.000 0.750
Ga 0.249 0.751 0.000
Ga 0.751 0.249 0.000
Co 0.249 0.751 0.500
Co 0.500 0.500 0.251
Co 0.500 0.500 0.749
Co 0.751 0.249 0.500
Ni 0.000 0.000 0.000
Ni 0.000 0.000 0.500
Ni 0.127 0.379 0.377
Ni 0.127 0.379 0.623
Ni 0.130 0.377 0.127
Ni 0.130 0.377 0.873
Ni 0.252 0.748 0.255
Ni 0.252 0.748 0.745
Ni 0.377 0.130 0.127
Ni 0.377 0.130 0.873
Ni 0.379 0.127 0.377
Ni 0.379 0.127 0.623
Ni 0.500 0.500 0.000
Ni 0.500 0.500 0.500
Ni 0.621 0.873 0.377
Ni 0.621 0.873 0.623
Ni 0.623 0.870 0.127
Ni 0.623 0.870 0.873
Ni 0.748 0.252 0.255
Ni 0.748 0.252 0.745
Ni 0.870 0.623 0.127
Ni 0.870 0.623 0.873
Ni 0.873 0.621 0.377
Ni 0.873 0.621 0.623

**Electronic total energy**: -0.4213 Ry/atom
**Calculated formation energy**: -0.129 eV per atom
**Volume**: 11.205 A^3/atom
**Magnetic moment**: 4.51 μB/f.u.

=====

A plane-wave DFT calculation with PBE-GGA was carried out for a relaxed structure of Er2NbGa.

Unit cell a=10.830 b=10.830 c=10.830 alpha=17.08 beta=17.08 gamma=17.08
Sites, in units of the cell vectors:
Er 0.093 0.093 0.093
Er 0.907 0.907 0.907
Nb 0.000 0.000 0.000
Ga 0.500 0.500 0.500

**Electronic total energy**: -0.3844 Ry/atom
**Calculated formation energy**: 0.326 eV per atom
**Volume**: 23.911 A^3/atom
**Magnetic moment**: 1.02 μB/f.u.